Entry 1:
Here is a geometry-optimized AcHoSbTe structure from the Alexandria database. Energies are from GGA-PBE.

a b c (Å): 4.4418 4.4415 8.4035
angles (deg): 90.01 105.31 119.99
Fractional coordinates of all 4 atoms:
1 Sb 0.2889 0.5424 0.8465
2 Ho 0.4821 0.1390 0.6362
3 Ac 0.1247 0.9603 0.1003
4 Te 0.9822 0.3892 0.3866

Values from the calculation:
For the total magnetization, the calculation gives 0.000 μB/cell. The calculation puts the uncorrected formation energy at -4.834 eV/f.u. For the raw total energy, the calculation gives -5.196 eV per atom.

Entry 2:
Here is a geometry-optimized Hf3H8 structure from the Alexandria database. Energies are from GGA-PBE.

a b c (Å): 4.6157 4.6157 4.6157
angles (deg): 90.00 90.00 90.00
Fractional coordinates of all 11 atoms:
1 H 0.7575 0.2425 0.2425
2 H 0.7575 0.2425 0.7575
3 H 0.2425 0.2425 0.2425
4 H 0.7575 0.7575 0.7575
5 H 0.2425 0.7575 0.2425
6 H 0.7575 0.7575 0.2425
7 H 0.2425 0.2425 0.7575
8 H 0.2425 0.7575 0.7575
9 Hf 0.0000 0.5000 0.5000
10 Hf 0.5000 0.5000 0.0000
11 Hf 0.5000 0.0000 0.5000

Values from the calculation:
For the total magnetization, the calculation gives 0.000 μB/cell. For the raw total energy, the calculation gives -5.540 eV per atom.

Entry 3:
Here is a geometry-optimized KP2AuO structure from the Alexandria database. Energies are from GGA-PBE.

a b c (Å): 5.4448 5.4448 4.0726
angles (deg): 90.00 90.00 90.00
Last column: magnetic moment on the atom in μB.
Fractional coordinates of all 5 atoms:
1 O 0.0000 0.0000 0.5000  0.21
2 Au 0.5000 0.5000 0.5000  0.02
3 P 0.5000 0.0000 0.0000  0.39
4 P 0.0000 0.5000 0.0000  0.39
5 K 0.0000 0.0000 0.0000  0.05

Values from the calculation:
For the total magnetization, the calculation gives 1.961 μB/cell. The calculation puts the uncorrected formation energy at 8.803 eV/f.u. For the raw total energy, the calculation gives -2.270 eV per atom.

Entry 4:
Here is a geometry-optimized TaInN2O structure from the Alexandria database. Energies are from GGA-PBE.

a b c (Å): 4.0675 4.0675 3.9679
angles (deg): 90.00 90.00 90.00
Fractional coordinates of all 5 atoms:
1 O 0.0000 0.0000 0.5000
2 N 0.5000 0.0000 0.0000
3 N 0.0000 0.5000 0.0000
4 In 0.0000 0.0000 0.0000
5 Ta 0.5000 0.5000 0.5000

Values from the calculation:
For the total magnetization, the calculation gives 0.000 μB/cell. The calculation puts the uncorrected formation energy at 5.727 eV/f.u. For the raw total energy, the calculation gives -6.095 eV per atom.

Entry 5:
Here is a geometry-optimized CrCo2Rh structure from the Alexandria database. Energies are from GGA-PBE.

a b c (Å): 2.5870 3.5660 5.1533
angles (deg): 90.00 90.00 90.00
Last column: magnetic moment on the atom in μB.
Fractional coordinates of all 4 atoms:
1 Rh 0.5000 0.5000 0.7500  0.39
2 Co 0.0000 0.0000 0.0147  1.06
3 Co 0.0000 0.0000 0.4853  1.06
4 Cr 0.5000 0.5000 0.2500  -1.26

Values from the calculation:
The energy of formation from the pure elements comes out at 0.0734 eV/atom. For the total magnetization, the calculation gives 1.145 μB/cell. For the raw total energy, the calculation gives -7.723 eV per atom.

Entry 6:
Here is a geometry-optimized RbGa2O3 structure from the Alexandria database. Energies are from GGA-PBE.

a b c (Å): 5.5203 6.8744 6.8744
angles (deg): 98.66 90.00 90.00
Fractional coordinates of all 12 atoms:
1 O 0.2500 0.3332 0.1994
2 O 0.7500 0.6668 0.8006
3 O 0.7500 0.1994 0.3332
4 O 0.7500 0.0882 0.9118
5 O 0.2500 0.8006 0.6668
6 O 0.2500 0.9118 0.0882
7 Ga 0.5000 0.1498 0.1498
8 Ga 0.0000 0.1498 0.1498
9 Ga 0.5000 0.8502 0.8502
10 Ga 0.0000 0.8502 0.8502
11 Rb 0.7500 0.6575 0.3425
12 Rb 0.2500 0.3425 0.6575

Values from the calculation:
For the total magnetization, the calculation gives 0.000 μB/cell. The calculation puts the uncorrected formation energy at -8.108 eV/f.u. For the raw total energy, the calculation gives -5.001 eV per atom.